A relaxed structure of PaCo2Ni, computed with PBE.

Results
For the energy, the calculation gives -0.285 Ha/atom. Its crystal system is tetragonal.

Cell: 3.8777 3.8777 3.7047 Å, 90.00 90.00 90.00°
With the nearest neighbours (Å) after each atom.
Space group P4/mmm (No. 123)
Unique sites:
Pa 0.0000 0.0000 0.0000  8 Co 2.68, 4 Ni 2.74
Co 0.0000 0.5000 0.5000  4 Ni 2.68, 4 Pa 2.68, 4 Co 2.74
Ni 0.5000 0.5000 0.0000  8 Co 2.68, 4 Pa 2.74